(1)
SbPd12Au3: optimized geometry, GGA-PBE.

Properties
- size of the total moment (μB/f.u.) = 0.00
- symmetry = P4/mmm, No. 123
- electronic total energy (eV/atom) = -4.904
- E_form (uncorrected) (kJ/mol of formula units) = -211

Unit cell a=4.0328 b=4.0328 c=15.8970 alpha=90.00 beta=90.00 gamma=90.00
Atoms (fractional coordinates):
Sb (0.0000, 0.0000, 0.0000)
Pd (0.5000, 0.5000, 0.0000)
Pd (0.5000, 0.5000, 0.2510)
Pd (0.5000, 0.5000, 0.5000)
Pd (0.5000, 0.5000, 0.7490)
Pd (0.5000, 0.0000, 0.1243)
Pd (0.5000, 0.0000, 0.3756)
Pd (0.5000, 0.0000, 0.6244)
Pd (0.5000, 0.0000, 0.8757)
Pd (0.0000, 0.5000, 0.1243)
Pd (0.0000, 0.5000, 0.3756)
Pd (0.0000, 0.5000, 0.6244)
Pd (0.0000, 0.5000, 0.8757)
Au (0.0000, 0.0000, 0.2508)
Au (0.0000, 0.0000, 0.5000)
Au (0.0000, 0.0000, 0.7492)



(2)
CaCrS3: optimized geometry, GGA-PBE.

Properties
- size of the total moment (μB/f.u.) = 2.35
- symmetry = Pm-3m, No. 221
- relative energy among the computed polymorphs (meV/atom) = 0
- electronic total energy (eV/atom) = -5.610
- E_form (uncorrected) (kJ/mol of formula units) = -390

Unit cell a=4.6251 b=4.6251 c=4.6251 alpha=90.00 beta=90.00 gamma=90.00
Atoms (fractional coordinates):
Cr (0.0000, 0.0000, 0.0000)
Ca (0.5000, 0.5000, 0.5000)
S (0.0000, 0.5000, 0.0000)
S (0.0000, 0.0000, 0.5000)
S (0.5000, 0.0000, 0.0000)



(3)
AlSi2Te: optimized geometry, GGA-PBE.

Properties
- size of the total moment (μB/f.u.) = 0.00
- symmetry = I-42d, No. 122
- relative energy among the computed polymorphs (meV/atom) = 221
- electronic total energy (eV/atom) = -4.077
- E_form (uncorrected) (kJ/mol of formula units) = 137

Unit cell a=5.9178 b=5.9178 c=7.3906 alpha=66.40 beta=66.40 gamma=90.00
Atoms (fractional coordinates):
Si (0.5833, 0.1250, 0.2500)
Si (0.1667, 0.6250, 0.2500)
Si (0.3750, 0.4167, 0.7500)
Si (0.8750, 0.8333, 0.7500)
Te (0.0000, 0.0000, 0.0000)
Te (0.7500, 0.2500, 0.5000)
Al (0.5000, 0.5000, 0.0000)
Al (0.2500, 0.7500, 0.5000)



(4)
CaMgPt2: optimized geometry, GGA-PBE.

Properties
- size of the total moment (μB/f.u.) = 0.00
- symmetry = P2/m, No. 10
- electronic total energy (eV/atom) = -4.743
- E_form (eV/f.u.) = -3.3

Unit cell a=3.4751 b=3.0890 c=7.5515 alpha=65.73 beta=90.00 gamma=90.00
Atoms (fractional coordinates):
Ca (0.5000, 0.2500, 0.2500)
Mg (0.5000, 0.7500, 0.7500)
Pt (0.0000, 0.0321, 0.9677)
Pt (0.0000, 0.4679, 0.5323)



(5)
Ca2LaInRu: optimized geometry, GGA-PBE.

Properties
- size of the total moment (μB/f.u.) = 0.00
- symmetry = P4/mmm, No. 123
- electronic total energy (eV/atom) = -4.295
- E_form (eV/f.u.) = -0.5

Unit cell a=5.5789 b=5.5789 c=5.2111 alpha=90.00 beta=90.00 gamma=90.00
Atoms (fractional coordinates):
Ru (0.0000, 0.0000, 0.0000)
Ca (0.0000, 0.5000, 0.0000)
Ca (0.5000, 0.0000, 0.0000)
In (0.5000, 0.5000, 0.5000)
La (0.0000, 0.0000, 0.5000)



(6)
ZnB3Os: optimized geometry, GGA-PBE.

Properties
- size of the total moment (μB/f.u.) = 0.00
- symmetry = Pm-3m, No. 221
- electronic total energy (eV/atom) = -5.533
- E_form (eV/f.u.) = 4.9

Unit cell a=4.1233 b=4.1233 c=4.1233 alpha=90.00 beta=90.00 gamma=90.00
Atoms (fractional coordinates):
Zn (0.5000, 0.5000, 0.5000)
B (0.0000, 0.5000, 0.0000)
B (0.0000, 0.0000, 0.5000)
B (0.5000, 0.0000, 0.0000)
Os (0.0000, 0.0000, 0.0000)



(7)
Pr8Ge2Rh: optimized geometry, GGA-PBE.

Properties
- size of the total moment (μB/f.u.) = 0.00
- symmetry = C2/m, No. 12
- electronic total energy (eV/atom) = -5.394
- E_form (eV/f.u.) = -4.5

Unit cell a=4.7806 b=7.3381 c=9.8544 alpha=100.68 beta=104.04 gamma=90.00
Atoms (fractional coordinates):
Pr (0.4041, 0.5100, 0.8082)
Pr (0.6537, 0.0044, 0.3074)
Pr (0.7849, 0.6607, 0.5698)
Pr (0.9835, 0.2202, 0.9670)
Pr (0.2151, 0.3393, 0.4302)
Pr (0.3463, 0.9956, 0.6926)
Pr (0.5959, 0.4900, 0.1918)
Pr (0.0165, 0.7798, 0.0330)
Ge (0.8174, 0.2475, 0.6347)
Ge (0.1826, 0.7525, 0.3653)
Rh (0.5000, 0.0000, 0.0000)



(8)
AcFeSi: optimized geometry, GGA-PBE.

Properties
- size of the total moment (μB/f.u.) = 1.80
- symmetry = P-6m2, No. 187
- relative energy among the computed polymorphs (meV/atom) = 201
- electronic total energy (eV/atom) = -6.274
- E_form (uncorrected) (kJ/mol of formula units) = -80

Unit cell a=4.5472 b=4.1531 c=4.1531 alpha=120.00 beta=90.00 gamma=90.00
Atoms (fractional coordinates):
Ac (0.6667, 0.3333, 0.6667)
Si (0.1667, 0.0000, 0.0000)
Fe (0.1666, 0.6667, 0.3333)



(9)
MnCdTe2: optimized geometry, GGA-PBE.

Properties
- size of the total moment (μB/f.u.) = 4.50
- symmetry = C2/m, No. 12
- electronic total energy (eV/atom) = -3.940
- E_form (uncorrected) (kJ/mol of formula units) = 59

Unit cell a=6.1438 b=5.2640 c=4.3730 alpha=75.41 beta=73.73 gamma=117.85
Atoms (fractional coordinates):
Cd (0.0000, 0.5000, 0.5000)
Mn (0.5000, 0.5000, 0.0000)
Te (0.0000, 0.0000, 0.0000)
Te (0.5000, 0.0000, 0.5000)



(10)
AcSm2Br: optimized geometry, GGA-PBE.

Properties
- size of the total moment (μB/f.u.) = 0.00
- symmetry = R-3m, No. 166
- relative energy among the computed polymorphs (meV/atom) = 96
- electronic total energy (eV/atom) = -4.116
- E_form (uncorrected) (kJ/mol of formula units) = -120

Unit cell a=3.6349 b=3.6349 c=12.0718 alpha=81.34 beta=81.34 gamma=60.00
Atoms (fractional coordinates):
Ac (0.0000, 0.0000, 0.0000)
Br (0.5000, 0.5000, 0.5000)
Sm (0.1003, 0.1003, 0.6990)
Sm (0.8997, 0.8997, 0.3010)



(11)
MnPd3W: optimized geometry, GGA-PBE.

Properties
- size of the total moment (μB/f.u.) = 4.26
- symmetry = Pm-3m, No. 221
- relative energy among the computed polymorphs (meV/atom) = 0
- electronic total energy (eV/atom) = -6.318
- E_form (eV/f.u.) = 6.1

Unit cell a=4.8069 b=4.8069 c=4.8069 alpha=90.00 beta=90.00 gamma=90.00
Atoms (fractional coordinates):
Mn (0.5000, 0.5000, 0.5000)
Pd (0.0000, 0.5000, 0.0000)
Pd (0.0000, 0.0000, 0.5000)
Pd (0.5000, 0.0000, 0.0000)
W (0.0000, 0.0000, 0.0000)



(12)
TiCoNi4: optimized geometry, GGA-PBE.

Properties
- size of the total moment (μB/f.u.) = 2.32
- symmetry = I4_1/amd, No. 141
- relative energy among the computed polymorphs (meV/atom) = 868
- electronic total energy (eV/atom) = -5.652
- E_form (eV/f.u.) = 4.2

Unit cell a=6.6782 b=6.6782 c=6.2655 alpha=122.20 beta=122.20 gamma=90.00
Atoms (fractional coordinates):
Ti (0.5000, 0.5000, 0.0000)
Ti (0.2500, 0.7500, 0.5000)
Co (0.0000, 0.0000, 0.0000)
Co (0.7500, 0.2500, 0.5000)
Ni (0.7429, 0.5710, 0.4858)
Ni (0.6649, 0.9929, 0.9858)
Ni (0.3210, 0.9929, 0.9858)
Ni (0.7429, 0.9149, 0.4858)
Ni (0.0071, 0.3351, 0.0142)
Ni (0.4290, 0.2571, 0.5142)
Ni (0.0851, 0.2571, 0.5142)
Ni (0.0071, 0.6790, 0.0142)